(1)
## LaMn2Rh (PBE)

Data for a geometry-optimized LaMn2Rh structure.

```
data_LaMn2Rh
_cell_length_a 6.687
_cell_length_b 6.687
_cell_length_c 6.687
_cell_angle_alpha 90.00
_cell_angle_beta 90.00
_cell_angle_gamma 90.00
_space_group_name_H-M_alt 'F -4 3 m'
_space_group_IT_number 216
_space_group_name_Hall 'F -4 2 3'
loop_
_atom_site_label
_atom_site_type_symbol
_atom_site_fract_x
_atom_site_fract_y
_atom_site_fract_z
_atom_site_occupancy
La1 La 0.000 0.000 0.000 1
Mn1 Mn 0.000 0.000 0.500 1
Mn2 Mn 0.250 0.250 0.250 1
Rh1 Rh 0.250 0.250 0.750 1
```

## Properties
- Total magnetic moment: 1.3 μB/f.u.
- DFT formation energy: 0.073 eV/atom
- ρ: 7.811 Mg/m³
- Fermi-level density of states: 11.28 states/eV/cell

---

(2)
## LaMn2Rh (PBE)

Data for a geometry-optimized LaMn2Rh structure.

```
data_LaMn2Rh
_cell_length_a 3.209
_cell_length_b 3.280
_cell_length_c 7.049
_cell_angle_alpha 90.00
_cell_angle_beta 90.00
_cell_angle_gamma 90.00
_space_group_name_H-M_alt 'P m m 2'
_space_group_IT_number 25
_space_group_name_Hall 'P 2 -2'
loop_
_atom_site_label
_atom_site_type_symbol
_atom_site_fract_x
_atom_site_fract_y
_atom_site_fract_z
_atom_site_occupancy
La1 La 0.000 0.000 0.000 1
Mn1 Mn 0.000 0.000 0.493 1
Mn2 Mn 0.500 0.500 0.659 1
Rh1 Rh 0.500 0.500 0.289 1
```

## Properties
- Total magnetic moment: 0.8 μB/f.u.
- DFT formation energy: 0.008 eV/atom
- ρ: 7.872 Mg/m³
- Fermi-level density of states: 4.58 states/eV/cell

---

(3)
## LaMn2Rh (PBE)

Data for a geometry-optimized LaMn2Rh structure.

```
data_LaMn2Rh
_cell_length_a 3.0904
_cell_length_b 3.0904
_cell_length_c 28.2841
_cell_angle_alpha 90.00
_cell_angle_beta 90.00
_cell_angle_gamma 120.00
_space_group_name_H-M_alt 'R -3 m'
_space_group_IT_number 166
_space_group_name_Hall '-R 3 2"'
loop_
_atom_site_label
_atom_site_type_symbol
_atom_site_fract_x
_atom_site_fract_y
_atom_site_fract_z
_atom_site_occupancy
La1 La 0.0000 0.0000 0.0000 1
Mn1 Mn 0.0000 0.0000 0.2351 1
Rh1 Rh 0.0000 0.0000 0.5000 1
```

## Properties
- Total magnetic moment: 8.3 μB/f.u.
- DFT formation energy: 0.456 eV/atom
- ρ: 7.489 Mg/m³
- Fermi-level density of states: 13.50 states/eV/cell

---

(4)
## LaMn2Rh (PBE)

Data for a geometry-optimized LaMn2Rh structure.

```
data_LaMn2Rh
_cell_length_a 3.172
_cell_length_b 3.172
_cell_length_c 7.512
_cell_angle_alpha 90.00
_cell_angle_beta 90.00
_cell_angle_gamma 90.00
_space_group_name_H-M_alt 'P 4/m m m'
_space_group_IT_number 123
_space_group_name_Hall '-P 4 2'
loop_
_atom_site_label
_atom_site_type_symbol
_atom_site_fract_x
_atom_site_fract_y
_atom_site_fract_z
_atom_site_occupancy
La1 La 0.000 0.000 0.000 1
Mn1 Mn 0.500 0.500 0.310 1
Rh1 Rh 0.000 0.000 0.500 1
```

## Properties
- Total magnetic moment: 7.6 μB/f.u.
- DFT formation energy: 0.104 eV/atom
- ρ: 7.725 Mg/m³
- Fermi-level density of states: 3.36 states/eV/cell

---

(5)
## La2MnSb4Rh3 (PBE)

Data for a geometry-optimized La2MnSb4Rh3 structure.

```
data_La2MnSb4Rh3
_cell_length_a 4.567
_cell_length_b 4.567
_cell_length_c 10.702
_cell_angle_alpha 90.00
_cell_angle_beta 90.00
_cell_angle_gamma 90.00
_space_group_name_H-M_alt 'P -4 m 2'
_space_group_IT_number 115
_space_group_name_Hall 'P -4 -2'
loop_
_atom_site_label
_atom_site_type_symbol
_atom_site_fract_x
_atom_site_fract_y
_atom_site_fract_z
_atom_site_occupancy
La1 La 0.000 0.500 0.250 1
Mn1 Mn 0.000 0.000 0.500 1
Sb1 Sb 0.000 0.000 0.000 1
Sb2 Sb 0.000 0.500 0.634 1
Sb3 Sb 0.500 0.500 0.000 1
Rh1 Rh 0.000 0.500 0.878 1
Rh2 Rh 0.500 0.500 0.500 1
```

## Properties
- Formation energy (no corrections): -740 kJ/mol of formula units
- Total magnetic moment: 3.6 μB/f.u.
- ρ: 8.393 Mg/m³
- Fermi-level density of states: 5.24 states/eV/cell

---

(6)
## LaMn2SiRh (PBE)

Data for a geometry-optimized LaMn2SiRh structure.

```
data_LaMn2SiRh
_cell_length_a 4.336
_cell_length_b 4.336
_cell_length_c 5.655
_cell_angle_alpha 90.00
_cell_angle_beta 90.00
_cell_angle_gamma 90.00
_space_group_name_H-M_alt 'P 4/m m m'
_space_group_IT_number 123
_space_group_name_Hall '-P 4 2'
loop_
_atom_site_label
_atom_site_type_symbol
_atom_site_fract_x
_atom_site_fract_y
_atom_site_fract_z
_atom_site_occupancy
La1 La 0.000 0.000 0.000 1
Mn1 Mn 0.000 0.500 0.500 1
Si1 Si 0.000 0.000 0.500 1
Rh1 Rh 0.500 0.500 0.000 1
```

## Properties
- Formation energy (no corrections): 222 kJ/mol of formula units
- Total magnetic moment: 5.4 μB/f.u.
- ρ: 5.932 Mg/m³
- Fermi-level density of states: 4.24 states/eV/cell

---

(7)
## La2MnSn4Rh3 (PBE)

Data for a geometry-optimized La2MnSn4Rh3 structure.

```
data_La2MnSn4Rh3
_cell_length_a 4.509
_cell_length_b 4.509
_cell_length_c 11.047
_cell_angle_alpha 90.00
_cell_angle_beta 90.00
_cell_angle_gamma 90.00
_space_group_name_H-M_alt 'P -4 m 2'
_space_group_IT_number 115
_space_group_name_Hall 'P -4 -2'
loop_
_atom_site_label
_atom_site_type_symbol
_atom_site_fract_x
_atom_site_fract_y
_atom_site_fract_z
_atom_site_occupancy
La1 La 0.000 0.500 0.248 1
Mn1 Mn 0.000 0.000 0.500 1
Sn1 Sn 0.000 0.000 0.000 1
Sn2 Sn 0.000 0.500 0.633 1
Sn3 Sn 0.500 0.500 0.000 1
Rh1 Rh 0.000 0.500 0.871 1
Rh2 Rh 0.500 0.500 0.500 1
```

## Properties
- Total magnetic moment: 3.5 μB/f.u.
- DFT formation energy: -0.628 eV/atom
- ρ: 8.252 Mg/m³
- Fermi-level density of states: 6.64 states/eV/cell

---

(8)
## LaTaMnRh2 (PBE)

Data for a geometry-optimized LaTaMnRh2 structure.

```
data_LaTaMnRh2
_cell_length_a 4.730
_cell_length_b 4.730
_cell_length_c 5.181
_cell_angle_alpha 90.00
_cell_angle_beta 90.00
_cell_angle_gamma 90.00
_space_group_name_H-M_alt 'P 4/m m m'
_space_group_IT_number 123
_space_group_name_Hall '-P 4 2'
loop_
_atom_site_label
_atom_site_type_symbol
_atom_site_fract_x
_atom_site_fract_y
_atom_site_fract_z
_atom_site_occupancy
La1 La 0.000 0.000 0.000 1
Ta1 Ta 0.000 0.000 0.500 1
Mn1 Mn 0.500 0.500 0.500 1
Rh1 Rh 0.000 0.500 0.000 1
```

## Properties
- Total magnetic moment: 0.4 μB/f.u.
- DFT formation energy: 2.114 eV/atom
- ρ: 8.317 Mg/m³
- Fermi-level density of states: 6.47 states/eV/cell

---

> Which formula does entry 4 have?

LaMn2Rh